Run i
## TbErTh3 (PBE)

Data for a geometry-optimized TbErTh3 structure.

Properties
ρ, g/cm³: 9.780
Total moment, Bohr magnetons per cell: 0.00

Structure (POSCAR):
```
TbErTh3
1.0
3.007 -8.277 0.000
3.007 8.277 0.000
-0.260 0.000 3.487
Tb Er Th
1 1 3
Cartesian
0.000 0.000 0.000
2.877 0.575 1.743
1.273 -2.836 2.732
2.877 -5.512 1.743
4.481 -2.836 0.755
```

***

Run ii
## TbErTh3 (PBE)

Data for a geometry-optimized TbErTh3 structure.

Properties
ρ, g/cm³: 9.915
Total moment, Bohr magnetons per cell: 0.00

Structure (POSCAR):
```
TbErTh3
1.0
4.254 2.456 5.462
-4.254 2.456 5.462
0.000 -4.912 5.462
Tb Er Th
2 2 6
Cartesian
0.000 0.000 1.471
0.000 0.000 14.917
0.000 0.000 6.662
0.000 0.000 9.725
-2.175 -2.303 6.967
-3.082 0.733 9.421
0.906 -3.035 9.421
-0.906 3.035 6.967
3.082 -0.733 6.967
2.175 2.303 9.421
```

***

Quick one: least stable of them? run ii

***

Run i
## Tb7ErTh3 (PBE)

Data for a geometry-optimized Tb7ErTh3 structure.

Properties
ρ, g/cm³: 8.844
Total moment, Bohr magnetons per cell: 0.00

Structure (POSCAR):
```
Tb7ErTh3
1.0
7.082 0.000 0.000
-3.541 6.133 0.000
0.000 0.000 8.543
Tb Er Th
7 1 3
Cartesian
0.000 0.000 0.000
0.000 2.028 2.927
-1.784 5.119 2.927
3.541 0.019 0.037
1.787 3.057 0.037
1.784 5.119 2.927
5.295 3.057 0.037
3.541 2.044 2.952
1.775 1.025 5.747
5.306 1.025 5.747
3.541 4.083 5.747
```

***

Run ii
## Tb7ErTh3 (PBE)

Data for a geometry-optimized Tb7ErTh3 structure.

Properties
ρ, g/cm³: 9.127
Total moment, Bohr magnetons per cell: 0.00

Structure (POSCAR):
```
Tb7ErTh3
1.0
6.446 0.000 0.000
-0.800 6.649 0.000
-1.073 -1.848 8.387
Tb Er Th
7 1 3
Cartesian
0.000 0.000 0.000
-0.802 3.561 5.405
0.384 0.229 5.908
1.594 3.150 7.760
2.979 1.652 0.627
4.189 4.572 2.479
5.374 1.240 2.982
-0.400 3.325 0.000
0.981 5.677 2.806
2.286 2.401 4.194
3.592 -0.876 5.581
```

***

Quick one: least stable of them? run i

***

Run i
## Tb4Er3Th (PBE)

Data for a geometry-optimized Tb4Er3Th structure.

Properties
ρ, g/cm³: 8.836
Total moment, Bohr magnetons per cell: 0.00

Structure (POSCAR):
```
Tb4Er3Th
1.0
11.633 -1.722 0.000
11.633 1.722 0.000
-1.927 0.000 6.425
Tb Er Th
4 3 1
Cartesian
2.167 0.000 2.344
4.558 0.000 4.893
16.782 0.000 1.532
19.173 0.000 4.081
-0.963 0.000 3.212
1.174 0.000 5.680
20.166 0.000 0.745
11.633 0.000 0.000
```

***

Run ii
## Tb4Er3Th (PBE)

Data for a geometry-optimized Tb4Er3Th structure.

Properties
ρ, g/cm³: 8.906
Total moment, Bohr magnetons per cell: 0.00

Structure (POSCAR):
```
Tb4Er3Th
1.0
11.329 0.000 0.000
0.000 7.228 0.000
0.000 0.000 6.237
Tb Er Th
8 6 2
Cartesian
0.000 0.922 0.000
0.000 6.285 3.140
2.832 0.921 2.142
2.832 6.307 5.260
5.665 0.943 0.022
5.665 6.306 3.118
8.497 0.921 2.142
8.497 6.307 5.260
0.000 2.737 3.138
2.825 2.739 5.189
2.840 4.489 2.071
5.665 4.491 0.020
8.490 4.489 2.071
8.504 2.739 5.189
0.000 4.509 0.024
5.665 2.719 3.142
```

***

Quick one: least stable of them? run i

***

Run i
## Tb6Er2Th (PBE)

Data for a geometry-optimized Tb6Er2Th structure.

Properties
ρ, g/cm³: 8.721
Total moment, Bohr magnetons per cell: 0.01

Structure (POSCAR):
```
Tb6Er2Th
1.0
3.566 0.000 0.000
-1.783 3.088 0.000
0.000 0.000 26.284
Tb Er Th
6 2 1
Cartesian
0.000 0.000 1.731
0.000 0.000 7.346
0.000 0.000 18.938
0.000 0.000 24.553
0.000 2.059 10.230
0.000 2.059 16.054
0.000 2.059 4.497
0.000 2.059 21.787
0.000 0.000 13.142
```

***

Run ii
## Tb6Er2Th (PBE)

Data for a geometry-optimized Tb6Er2Th structure.

Properties
ρ, g/cm³: 7.893
Total moment, Bohr magnetons per cell: 0.00

Structure (POSCAR):
```
Tb6Er2Th
1.0
3.462 1.999 7.705
-3.462 1.999 7.705
0.000 -3.997 7.705
Tb Er Th
6 2 1
Cartesian
-1.692 -0.977 7.705
-1.749 -1.010 12.808
1.692 -0.977 7.705
0.000 1.953 7.705
1.749 -1.010 12.808
0.000 2.020 12.808
0.000 0.000 0.870
0.000 0.000 4.563
0.000 0.000 10.205
```

***

Quick one: least stable of them? run ii

***

Run i
## Tb3Er7Th (PBE)

Data for a geometry-optimized Tb3Er7Th structure.

Properties
ρ, g/cm³: 8.578
Total moment, Bohr magnetons per cell: 0.00

Structure (POSCAR):
```
Tb3Er7Th
1.0
6.988 0.000 0.000
-3.494 6.052 0.000
0.000 0.000 8.603
Tb Er Th
3 7 1
Cartesian
-1.732 3.035 0.000
1.732 3.035 0.000
0.000 6.035 0.000
0.000 2.046 5.684
-1.722 5.029 5.684
1.755 1.014 2.877
1.722 5.029 5.684
3.494 2.017 5.723
5.233 1.014 2.877
3.494 4.025 2.877
0.000 4.035 2.875
```

***

Run ii
## Tb3Er7Th (PBE)

Data for a geometry-optimized Tb3Er7Th structure.

Properties
ρ, g/cm³: 8.875
Total moment, Bohr magnetons per cell: 0.00

Structure (POSCAR):
```
Tb3Er7Th
1.0
6.915 0.000 0.000
0.000 5.455 0.000
-3.423 0.000 9.324
Tb Er Th
3 7 1
Cartesian
0.000 0.000 0.000
0.232 2.727 4.625
3.260 2.727 4.699
-1.711 0.000 4.662
-1.621 2.727 7.370
1.691 2.727 1.302
1.785 0.000 3.074
1.707 0.000 6.250
1.801 2.727 8.022
5.113 2.727 1.954
3.457 0.000 0.000
```

***

Quick one: least stable of them? run i

***

Run i
## Tb2ErTh5 (PBE)

Data for a geometry-optimized Tb2ErTh5 structure.

Properties
ρ, g/cm³: 9.200
Total moment, Bohr magnetons per cell: 0.00

Structure (POSCAR):
```
Tb2ErTh5
1.0
7.326 0.000 0.000
0.000 7.326 0.000
0.000 0.000 5.534
Tb Er Th
2 1 5
Cartesian
0.000 3.663 0.000
3.663 0.000 0.000
0.000 0.000 2.767
0.000 0.000 0.000
2.097 2.097 2.767
2.097 5.229 2.767
5.229 2.097 2.767
5.229 5.229 2.767
```

***

Run ii
## Tb2ErTh5 (PBE)

Data for a geometry-optimized Tb2ErTh5 structure.

Properties
ρ, g/cm³: 10.652
Total moment, Bohr magnetons per cell: 0.00

Structure (POSCAR):
```
Tb2ErTh5
1.0
7.134 0.000 0.000
0.000 14.305 0.000
0.000 0.000 5.027
Tb Er Th
4 2 10
Cartesian
1.773 1.788 0.000
1.794 8.940 0.000
5.340 5.365 0.000
5.361 12.517 0.000
0.000 0.000 2.513
3.567 7.153 2.513
0.000 7.153 2.513
0.015 10.727 2.513
1.749 5.335 0.000
1.818 12.488 0.000
3.552 3.574 2.513
3.567 0.000 2.513
3.582 10.731 2.513
5.316 1.817 0.000
5.385 8.970 0.000
7.119 3.579 2.513
```

***

Quick one: least stable of them? run i

***

Run i
## Tb5Er2Th4 (PBE)

Data for a geometry-optimized Tb5Er2Th4 structure.

Properties
ρ, g/cm³: 9.494
Total moment, Bohr magnetons per cell: 0.00

Structure (POSCAR):
```
Tb5Er2Th4
1.0
8.349 -3.326 0.000
8.349 3.326 0.000
-1.120 0.000 6.478
Tb Er Th
5 2 4
Cartesian
0.000 0.000 0.000
6.246 1.588 3.845
9.333 1.588 2.633
6.246 -1.588 3.845
9.333 -1.588 2.633
2.360 0.000 5.309
13.219 0.000 1.169
3.757 0.000 2.182
6.652 0.000 0.574
8.927 0.000 5.904
11.822 0.000 4.296
```

***

Run ii
## Tb5Er2Th4 (PBE)

Data for a geometry-optimized Tb5Er2Th4 structure.

Properties
ρ, g/cm³: 9.726
Total moment, Bohr magnetons per cell: 0.00

Structure (POSCAR):
```
Tb5Er2Th4
1.0
11.692 -1.788 0.000
11.692 1.788 0.000
-2.196 0.000 8.400
Tb Er Th
5 2 4
Cartesian
0.000 0.000 0.000
5.985 0.000 1.589
6.507 0.000 7.598
14.682 0.000 0.802
15.203 0.000 6.811
0.503 0.000 6.026
20.686 0.000 2.374
3.267 0.000 3.798
9.210 0.000 5.341
11.978 0.000 3.059
17.922 0.000 4.602
```

***

Quick one: least stable of them? run i

***

Run i
## Tb12Er6Th (PBE)

Data for a geometry-optimized Tb12Er6Th structure.

Properties
ρ, g/cm³: 8.485
Total moment, Bohr magnetons per cell: 0.00

Structure (POSCAR):
```
Tb12Er6Th
1.0
5.948 3.434 5.019
-5.948 3.434 5.019
0.000 -6.868 5.019
Tb Er Th
12 6 1
Cartesian
-1.148 -1.683 2.853
-0.884 1.835 2.853
-1.409 -1.519 6.249
2.032 -0.152 2.853
-2.020 0.461 8.807
-0.611 1.979 6.249
0.611 -1.979 8.807
2.020 -0.461 6.249
-2.032 0.152 12.202
1.409 1.519 8.807
0.884 -1.835 12.202
1.148 1.683 12.202
-3.564 0.954 5.238
0.956 -3.563 5.238
-2.608 -2.609 9.818
2.608 2.609 5.238
-0.956 3.563 9.818
3.564 -0.954 9.818
0.000 0.000 0.000
```

***

Run ii
## Tb12Er6Th (PBE)

Data for a geometry-optimized Tb12Er6Th structure.

Properties
ρ, g/cm³: 8.354
Total moment, Bohr magnetons per cell: 0.00

Structure (POSCAR):
```
Tb12Er6Th
1.0
6.670 3.851 4.053
-6.670 3.851 4.053
0.000 -7.702 4.053
Tb Er Th
12 6 1
Cartesian
-1.709 -4.742 4.053
-4.961 0.891 4.053
0.000 -2.082 2.969
-1.803 1.041 2.969
1.709 -4.742 4.053
-3.252 3.851 4.053
1.803 1.041 2.969
-1.803 -1.041 9.190
4.961 0.891 4.053
3.252 3.851 4.053
1.803 -1.041 9.190
0.000 2.082 9.190
-2.924 -1.688 5.582
0.000 -3.376 6.577
-2.924 1.688 6.577
2.924 -1.688 5.582
0.000 3.376 5.582
2.924 1.688 6.577
0.000 0.000 6.079
```

***

Quick one: least stable of them? run ii